No. 1
Computed, not measured: a relaxed In2BrCl2 crystal at the GGA-PBE level of DFT.

extended XYZ file:
```
10
Lattice="5.467 0.000 0.000 2.724 6.037 0.000 0.006 1.377 10.274" Properties=species:S:1:pos:R:3 pbc="T T T"
In 1.357 3.161 3.249
In 4.083 6.257 1.773
In 4.115 1.156 8.501
In 6.840 4.252 7.025
Br 4.107 4.356 7.555
Br 4.091 3.057 2.719
Cl 1.366 2.030 5.671
Cl 1.373 2.176 9.258
Cl 6.825 5.238 1.016
Cl 6.832 5.384 4.603
```

Values from the calculation:
- formation energy from raw total energies (meV/atom) = -797
- DFT total energy (eV per cell) = -29.66
- magnetic moment (μB per formula unit) = 0.00
- SG = No. 2


No. 2
Computed, not measured: a relaxed TiPtN2F crystal at the GGA-PBE level of DFT.

extended XYZ file:
```
5
Lattice="3.939 0.000 0.000 0.000 3.939 0.000 0.000 0.000 4.111" Properties=species:S:1:pos:R:3 pbc="T T T"
Ti 0.000 0.000 0.000
Pt 1.970 1.970 2.055
N 0.000 1.970 2.055
N 1.970 0.000 2.055
F 1.970 1.970 0.000
```

Values from the calculation:
- formation energy from raw total energies (meV/atom) = 644
- DFT total energy (eV per cell) = -29.24
- magnetic moment (μB per formula unit) = 0.00
- SG = No. 123